Entry 1:
# MgIn2P2 (PBE, relaxed)
data_MgIn2P2
_cell_length_a 7.370
_cell_length_b 7.370
_cell_length_c 3.939
_cell_angle_alpha 90.00
_cell_angle_beta 90.00
_cell_angle_gamma 90.00
_space_group_name_H-M_alt 'P 4/m b m'
_space_group_IT_number 127
_space_group_name_Hall '-P 4 2ab'
loop_
_atom_site_label
_atom_site_type_symbol
_atom_site_fract_x
_atom_site_fract_y
_atom_site_fract_z
Mg1 Mg 0.000 0.000 0.000
In1 In 0.143 0.357 0.500
P1 P 0.180 0.680 0.000
# uncorrected energy	-0.1313	Ha/atom



Entry 2:
# Mg2InP (PBE, relaxed)
data_Mg2InP
_cell_length_a 12.648
_cell_length_b 3.581
_cell_length_c 4.040
_cell_angle_alpha 90.00
_cell_angle_beta 108.55
_cell_angle_gamma 90.00
_space_group_name_H-M_alt 'C 1 m 1'
_space_group_IT_number 8
loop_
_space_group_symop_operation_xyz
'x,y,z'
'x,-y,z'
'x+1/2,y+1/2,z'
'x+1/2,-y+1/2,z'
loop_
_atom_site_label
_atom_site_type_symbol
_atom_site_fract_x
_atom_site_fract_y
_atom_site_fract_z
Mg1 Mg 0.000 0.000 0.000
Mg2 Mg 0.191 0.000 0.691
In1 In 0.378 0.000 0.378
P1 P 0.168 0.500 0.167
# uncorrected energy	-0.1112	Ha/atom



Entry 3:
# MgInP2 (PBE, relaxed)
data_MgInP2
_cell_length_a 3.530
_cell_length_b 3.581
_cell_length_c 6.617
_cell_angle_alpha 90.00
_cell_angle_beta 90.07
_cell_angle_gamma 90.00
_space_group_name_H-M_alt 'P 1 2/m 1'
_space_group_IT_number 10
loop_
_space_group_symop_operation_xyz
'x,y,z'
'-x,-y,-z'
'-x,y,-z'
'x,-y,z'
loop_
_atom_site_label
_atom_site_type_symbol
_atom_site_fract_x
_atom_site_fract_y
_atom_site_fract_z
Mg1 Mg 0.000 0.000 0.000
In1 In 0.000 0.000 0.500
P1 P 0.500 0.500 0.167
# uncorrected energy	-0.1415	Ha/atom



Entry 4:
# MgInP (PBE, relaxed)
data_MgInP
_cell_length_a 4.679
_cell_length_b 4.799
_cell_length_c 11.412
_cell_angle_alpha 90.00
_cell_angle_beta 90.00
_cell_angle_gamma 90.00
_space_group_name_H-M_alt 'F m m 2'
_space_group_IT_number 42
_space_group_name_Hall 'F 2 -2'
loop_
_atom_site_label
_atom_site_type_symbol
_atom_site_fract_x
_atom_site_fract_y
_atom_site_fract_z
Mg1 Mg 0.000 0.000 0.000
In1 In 0.000 0.000 0.282
P1 P 0.000 0.000 0.613
# uncorrected energy	-0.1194	Ha/atom



Number 1: size of the total moment 0.000 μB per atom, calculated formation energy 5.0 meV per atom. Number 2: size of the total moment 0.000 μB per atom, calculated formation energy -190.7 meV per atom. Number 3: size of the total moment 0.000 μB per atom, calculated formation energy -61.4 meV per atom. Number 4: size of the total moment 0.000 μB per atom, calculated formation energy -1.0 meV per atom.